Record 1
{"formula": "PrTi2Re", "functional": "PBE", "state": "relaxed", "lattice_angstrom": [[3.203, 0.000, 0.000], [0.000, 3.203, 0.000], [0.000, 0.000, 7.892]], "species": ["Pr", "Re", "Ti", "Ti"], "frac_coords": [[0.500, 0.500, 0.500], [0.500, 0.500, 0.000], [0.000, 0.000, 0.819], [0.000, 0.000, 0.181]], "formation_enthalpy_0k_ev_per_atom": -0.06}



Record 2
{"formula": "Pr2TmRe", "functional": "PBE", "state": "relaxed", "lattice_angstrom": [[-1.539, -0.917, -2.824], [1.761, -1.351, -2.501], [-1.720, -11.152, 2.577]], "species": ["Re", "Tm", "Pr", "Pr"], "frac_coords": [[0.000, 0.000, 0.000], [0.500, 0.500, 0.500], [0.078, 0.078, 0.766], [0.922, 0.922, 0.234]], "formation_enthalpy_0k_ev_per_atom": 0.91}



Record 3
{"formula": "PrURe4", "functional": "PBE", "state": "relaxed", "lattice_angstrom": [[5.458, 0.000, 0.000], [2.729, 4.727, 0.000], [2.729, 1.576, 4.456]], "species": ["Pr", "Re", "Re", "Re", "Re", "U"], "frac_coords": [[0.000, 0.000, 0.000], [0.625, 0.625, 0.625], [0.125, 0.625, 0.625], [0.625, 0.625, 0.125], [0.625, 0.125, 0.625], [0.250, 0.250, 0.250]], "formation_enthalpy_0k_ev_per_atom": 0.16}



Record 4
{"formula": "PrVRe", "functional": "PBE", "state": "relaxed", "lattice_angstrom": [[4.122, 0.000, 0.000], [2.061, 3.570, 0.000], [2.061, 1.190, 9.682]], "species": ["Pr", "Pr", "Re", "Re", "V", "V"], "frac_coords": [[0.615, 0.615, 0.154], [0.385, 0.385, 0.846], [0.778, 0.778, 0.667], [0.222, 0.222, 0.333], [0.138, 0.138, 0.587], [0.862, 0.862, 0.413]], "formation_enthalpy_0k_ev_per_atom": 0.41}



Record 5
{"formula": "PrYRe4", "functional": "PBE", "state": "relaxed", "lattice_angstrom": [[-2.158, -5.032, 0.211], [2.139, -4.028, -3.036], [2.769, -4.069, 2.406]], "species": ["Re", "Re", "Re", "Re", "Pr", "Y"], "frac_coords": [[0.625, 0.125, 0.625], [0.125, 0.625, 0.625], [0.625, 0.625, 0.125], [0.625, 0.625, 0.625], [0.250, 0.250, 0.250], [0.000, 0.000, 0.000]], "formation_enthalpy_0k_ev_per_atom": -0.02}



Record 6
{"formula": "Pr2ZnRe", "functional": "PBE", "state": "relaxed", "lattice_angstrom": [[-1.414, 2.250, 1.730], [0.625, 0.244, 3.100], [8.031, 7.747, -0.606]], "species": ["Re", "Pr", "Pr", "Zn"], "frac_coords": [[0.000, 0.000, 0.000], [0.085, 0.085, 0.744], [0.915, 0.915, 0.256], [0.500, 0.500, 0.500]], "formation_enthalpy_0k_ev_per_atom": 0.86}



Record 7
{"formula": "PrZr2Re", "functional": "PBE", "state": "relaxed", "lattice_angstrom": [[-3.273, 0.429, -0.603], [-0.155, -3.070, -1.345], [-1.808, -3.206, 7.527]], "species": ["Re", "Zr", "Zr", "Pr"], "frac_coords": [[0.500, 0.500, 0.000], [0.000, 0.000, 0.814], [0.000, 0.000, 0.186], [0.500, 0.500, 0.500]], "formation_enthalpy_0k_ev_per_atom": -0.03}



Record 8
{"formula": "Pr3Rh", "functional": "PBE", "state": "relaxed", "lattice_angstrom": [[3.755, 0.000, 0.000], [0.000, 3.607, 0.000], [0.000, 0.000, 9.511]], "species": ["Pr", "Pr", "Pr", "Rh"], "frac_coords": [[0.500, 0.500, 0.126], [0.500, 0.000, 0.757], [0.000, 0.500, 0.468], [0.000, 0.000, 0.983]], "formation_enthalpy_0k_ev_per_atom": -0.12}



Record 9
{"formula": "PrRh4", "functional": "PBE", "state": "relaxed", "lattice_angstrom": [[4.927, 0.000, 0.000], [0.000, 4.927, 0.000], [0.000, 0.000, 4.927]], "species": ["Rh", "Rh", "Rh", "Rh", "Pr"], "frac_coords": [[0.500, 0.500, 0.000], [0.000, 0.500, 0.500], [0.500, 0.000, 0.500], [0.000, 0.000, 0.000], [0.500, 0.500, 0.500]], "formation_enthalpy_0k_ev_per_atom": 1.68}



Record 10
{"formula": "Pr3Rh", "functional": "PBE", "state": "relaxed", "lattice_angstrom": [[6.534, 0.000, 0.000], [0.000, 12.100, 0.000], [0.000, 0.000, 12.100]], "species": ["Pr", "Pr", "Pr", "Pr", "Pr", "Pr", "Pr", "Pr", "Pr", "Pr", "Pr", "Pr", "Pr", "Pr", "Pr", "Pr", "Pr", "Pr", "Pr", "Pr", "Pr", "Pr", "Pr", "Pr", "Rh", "Rh", "Rh", "Rh", "Rh", "Rh", "Rh", "Rh"], "frac_coords": [[0.733, 0.940, 0.130], [0.445, 0.079, 0.365], [0.550, 0.342, 0.215], [0.267, 0.870, 0.940], [0.767, 0.560, 0.370], [0.267, 0.130, 0.060], [0.233, 0.630, 0.560], [0.767, 0.440, 0.630], [0.733, 0.060, 0.870], [0.945, 0.865, 0.421], [0.555, 0.635, 0.079], [0.945, 0.135, 0.579], [0.055, 0.579, 0.865], [0.050, 0.285, 0.842], [0.555, 0.365, 0.921], [0.055, 0.421, 0.135], [0.550, 0.658, 0.785], [0.450, 0.785, 0.342], [0.445, 0.921, 0.635], [0.233, 0.370, 0.440], [0.450, 0.215, 0.658], [0.950, 0.158, 0.285], [0.050, 0.715, 0.158], [0.950, 0.842, 0.715], [0.746, 0.184, 0.073], [0.246, 0.427, 0.684], [0.746, 0.816, 0.927], [0.254, 0.927, 0.184], [0.754, 0.684, 0.573], [0.246, 0.573, 0.316], [0.754, 0.316, 0.427], [0.254, 0.073, 0.816]], "formation_enthalpy_0k_ev_per_atom": -0.34}



Record 11
{"formula": "Pr3Rh2", "functional": "PBE", "state": "relaxed", "lattice_angstrom": [[4.104, 0.000, 0.000], [0.000, 11.446, 0.000], [0.000, 0.000, 11.426]], "species": ["Pr", "Pr", "Pr", "Pr", "Pr", "Pr", "Pr", "Pr", "Pr", "Pr", "Pr", "Pr", "Rh", "Rh", "Rh", "Rh", "Rh", "Rh", "Rh", "Rh"], "frac_coords": [[0.250, 0.563, 0.884], [0.750, 0.370, 0.449], [0.750, 0.130, 0.949], [0.750, 0.437, 0.116], [0.250, 0.937, 0.384], [0.750, 0.688, 0.278], [0.250, 0.870, 0.051], [0.750, 0.812, 0.778], [0.250, 0.188, 0.222], [0.250, 0.312, 0.722], [0.250, 0.630, 0.551], [0.750, 0.063, 0.616], [0.250, 0.505, 0.316], [0.750, 0.495, 0.684], [0.750, 0.687, 0.009], [0.250, 0.995, 0.816], [0.750, 0.813, 0.509], [0.250, 0.187, 0.491], [0.250, 0.313, 0.991], [0.750, 0.005, 0.184]], "formation_enthalpy_0k_ev_per_atom": -0.55}



Record 12
{"formula": "Pr5Rh4", "functional": "PBE", "state": "relaxed", "lattice_angstrom": [[-0.915, -1.003, -3.754], [0.098, -5.896, -0.571], [-10.284, -3.178, 1.233]], "species": ["Pr", "Pr", "Pr", "Pr", "Pr", "Rh", "Rh", "Rh", "Rh"], "frac_coords": [[0.778, 0.643, 0.801], [0.111, 0.176, 0.602], [0.000, 0.000, 0.000], [0.222, 0.357, 0.199], [0.889, 0.824, 0.398], [0.499, 0.193, 0.810], [0.501, 0.807, 0.190], [0.616, 0.375, 0.393], [0.384, 0.625, 0.607]], "formation_enthalpy_0k_ev_per_atom": -0.60}



Record 13
{"formula": "Pr7Rh3", "functional": "PBE", "state": "relaxed", "lattice_angstrom": [[-2.041, -0.472, 6.103], [3.465, -9.563, 0.420], [6.074, 7.734, 2.629]], "species": ["Rh", "Rh", "Rh", "Rh", "Rh", "Rh", "Pr", "Pr", "Pr", "Pr", "Pr", "Pr", "Pr", "Pr", "Pr", "Pr", "Pr", "Pr", "Pr", "Pr"], "frac_coords": [[0.372, 0.811, 0.622], [0.872, 0.622, 0.811], [0.872, 0.189, 0.811], [0.372, 0.811, 0.189], [0.872, 0.189, 0.378], [0.372, 0.378, 0.189], [0.427, 0.125, 0.250], [0.122, 0.079, 0.540], [0.122, 0.460, 0.540], [0.146, 0.667, 0.333], [0.622, 0.540, 0.460], [0.427, 0.750, 0.875], [0.646, 0.333, 0.667], [0.927, 0.875, 0.750], [0.122, 0.460, 0.921], [0.622, 0.540, 0.079], [0.927, 0.250, 0.125], [0.622, 0.921, 0.460], [0.427, 0.125, 0.875], [0.927, 0.875, 0.125]], "formation_enthalpy_0k_ev_per_atom": -0.48}



Record 14
{"formula": "Pr5Rh4", "functional": "PBE", "state": "relaxed", "lattice_angstrom": [[-3.362, -0.969, -1.012], [0.990, -2.415, -7.527], [-0.348, -7.708, 1.983]], "species": ["Pr", "Pr", "Pr", "Pr", "Pr", "Rh", "Rh", "Rh", "Rh"], "frac_coords": [[0.000, 0.667, 0.333], [0.000, 0.960, 0.040], [0.293, 0.373, 0.040], [0.000, 0.373, 0.627], [0.707, 0.960, 0.627], [0.321, 0.667, 0.692], [0.321, 0.026, 0.333], [0.679, 0.308, 0.333], [0.679, 0.667, 0.974]], "formation_enthalpy_0k_ev_per_atom": -0.37}



Record 15
{"formula": "Pr3Rh", "functional": "PBE", "state": "relaxed", "lattice_angstrom": [[-3.672, 0.643, -0.700], [0.133, -3.884, -4.261], [0.402, -2.324, 6.034]], "species": ["Rh", "Pr", "Pr", "Pr"], "frac_coords": [[0.000, 0.961, 0.000], [0.304, 0.706, 0.607], [0.696, 0.099, 0.393], [0.500, 0.401, 0.000]], "formation_enthalpy_0k_ev_per_atom": -0.30}



Record 16
{"formula": "Pr3Rh2", "functional": "PBE", "state": "relaxed", "lattice_angstrom": [[-4.397, 6.218, -0.776], [-7.303, -2.108, 0.905], [-2.279, 2.202, 6.968]], "species": ["Rh", "Rh", "Rh", "Rh", "Rh", "Rh", "Pr", "Pr", "Pr", "Pr", "Pr", "Pr", "Pr", "Pr", "Pr"], "frac_coords": [[0.161, 0.591, 0.957], [0.839, 0.409, 0.043], [0.409, 0.043, 0.839], [0.043, 0.839, 0.409], [0.591, 0.957, 0.161], [0.957, 0.161, 0.591], [0.164, 0.391, 0.666], [0.796, 0.796, 0.796], [0.204, 0.204, 0.204], [0.391, 0.666, 0.164], [0.836, 0.609, 0.334], [0.334, 0.836, 0.609], [0.000, 0.000, 0.000], [0.609, 0.334, 0.836], [0.666, 0.164, 0.391]], "formation_enthalpy_0k_ev_per_atom": -0.59}



Record 17
{"formula": "Pr3Rh2", "functional": "PBE", "state": "relaxed", "lattice_angstrom": [[4.343, 0.000, 0.000], [-2.171, 9.069, 0.257], [0.000, -1.760, 10.758]], "species": ["Pr", "Pr", "Pr", "Pr", "Pr", "Pr", "Pr", "Pr", "Pr", "Rh", "Rh", "Rh", "Rh", "Rh", "Rh"], "frac_coords": [[0.792, 0.584, 0.381], [0.463, 0.925, 0.340], [0.124, 0.249, 0.279], [0.208, 0.416, 0.619], [0.827, 0.654, 0.046], [0.537, 0.075, 0.660], [0.500, 0.000, 0.000], [0.876, 0.751, 0.721], [0.173, 0.346, 0.954], [0.321, 0.643, 0.867], [0.639, 0.279, 0.467], [0.972, 0.943, 0.175], [0.679, 0.357, 0.133], [0.361, 0.721, 0.533], [0.028, 0.057, 0.825]], "formation_enthalpy_0k_ev_per_atom": -0.53}



Record 18
{"formula": "Pr3Rh", "functional": "PBE", "state": "relaxed", "lattice_angstrom": [[-3.185, -5.423, 0.229], [2.733, -4.957, 7.237], [-7.650, 1.046, 4.980]], "species": ["Pr", "Pr", "Pr", "Pr", "Pr", "Pr", "Pr", "Pr", "Pr", "Pr", "Pr", "Pr", "Rh", "Rh", "Rh", "Rh"], "frac_coords": [[0.142, 0.358, 0.358], [0.012, 0.000, 0.596], [0.844, 0.814, 0.000], [0.658, 0.186, 0.000], [0.500, 0.642, 0.358], [0.392, 0.596, 0.000], [0.156, 0.000, 0.186], [0.342, 0.000, 0.814], [0.858, 0.642, 0.642], [0.608, 0.000, 0.404], [0.988, 0.404, 0.000], [0.500, 0.358, 0.642], [0.000, 0.695, 0.305], [0.696, 0.305, 0.305], [0.000, 0.305, 0.695], [0.304, 0.695, 0.695]], "formation_enthalpy_0k_ev_per_atom": -0.35}



Record 19
{"formula": "Pr3Rh2", "functional": "PBE", "state": "relaxed", "lattice_angstrom": [[-2.355, 0.395, -6.715], [-1.068, -5.960, -3.758], [-7.338, -2.105, -1.332]], "species": ["Pr", "Pr", "Pr", "Pr", "Pr", "Pr", "Rh", "Rh", "Rh", "Rh"], "frac_coords": [[0.094, 0.750, 0.750], [0.406, 0.094, 0.750], [0.250, 0.594, 0.250], [0.750, 0.406, 0.750], [0.906, 0.250, 0.250], [0.594, 0.906, 0.250], [0.672, 0.672, 0.983], [0.828, 0.828, 0.517], [0.172, 0.172, 0.483], [0.328, 0.328, 0.017]], "formation_enthalpy_0k_ev_per_atom": -0.54}



Record 20
{"formula": "Pr3RuRh", "functional": "PBE", "state": "relaxed", "lattice_angstrom": [[4.052, 0.000, 0.000], [2.026, 6.640, 0.791], [-0.001, 0.371, 10.161]], "species": ["Pr", "Pr", "Pr", "Pr", "Pr", "Pr", "Ru", "Ru", "Rh", "Rh"], "frac_coords": [[0.534, 0.322, 0.786], [0.809, 0.771, 0.299], [0.007, 0.376, 0.084], [0.282, 0.826, 0.597], [0.267, 0.857, 0.968], [0.549, 0.291, 0.415], [0.169, 0.052, 0.310], [0.647, 0.096, 0.073], [0.944, 0.502, 0.565], [0.872, 0.645, 0.818]], "formation_enthalpy_0k_ev_per_atom": -0.29}